[1]
First-principles (PBE) data for CoBiH2Os after structural relaxation, as listed in Alexandria.

Values from the calculation:
total magnetization: 0.00 μB per formula unit
SG: No. 123

Cell: 3.780 3.780 4.755 Å, 90.00 90.00 90.00°
Element x y z (fractional)
Co: 0.000 0.000 0.000
Bi: 0.500 0.500 0.500
H: 0.000 0.500 0.000
H: 0.500 0.000 0.000
Os: 0.000 0.000 0.500

[2]
First-principles (PBE) data for RbCoBi2H after structural relaxation, as listed in Alexandria.

Values from the calculation:
total magnetization: 1.38 μB per formula unit
SG: No. 123

Cell: 6.238 6.238 3.217 Å, 90.00 90.00 90.00°
Element x y z (fractional)
Rb: 0.000 0.000 0.000
Co: 0.500 0.500 0.000
Bi: 0.000 0.500 0.500
Bi: 0.500 0.000 0.500
H: 0.500 0.500 0.500

[3]
First-principles (PBE) data for CoBiHRh2 after structural relaxation, as listed in Alexandria.

Values from the calculation:
total magnetization: 0.92 μB per formula unit
SG: No. 123

Cell: 4.020 4.020 3.992 Å, 90.00 90.00 90.00°
Element x y z (fractional)
Co: 0.000 0.000 0.000
Bi: 0.500 0.500 0.000
H: 0.000 0.000 0.500
Rh: 0.000 0.500 0.500
Rh: 0.500 0.000 0.500

[4]
First-principles (PBE) data for CoBi2HRh after structural relaxation, as listed in Alexandria.

Values from the calculation:
total magnetization: 0.70 μB per formula unit
SG: No. 123

Cell: 4.989 4.989 3.313 Å, 90.00 90.00 90.00°
Element x y z (fractional)
Co: 0.000 0.000 0.000
Bi: 0.000 0.500 0.500
Bi: 0.500 0.000 0.500
H: 0.000 0.000 0.500
Rh: 0.500 0.500 0.000

no.,final energy (eV/atom)
1,-4.831
2,-3.357
3,-5.774
4,-4.852